Entry 1:
# Li3GaPb, relaxed, DFT GGA-PBE
# Calculated density: 4.4 g/cm3
# Distance to the lowest polymorph of the same formula: 337 meV/atom
# DFT formation energy: 0.24 eV per formula unit
data_Li3GaPb
_chemical_formula_sum 'Li3 Ga1 Pb1'
_space_group_name_H-M_alt 'P m -3 m'
_space_group_IT_number 221
_space_group_name_Hall '-P 4 2 3'
_cell_length_a 4.833
_cell_length_b 4.833
_cell_length_c 4.833
_cell_angle_alpha 90.00
_cell_angle_beta 90.00
_cell_angle_gamma 90.00
loop_
_atom_site_label
_atom_site_type_symbol
_atom_site_fract_x
_atom_site_fract_y
_atom_site_fract_z
Li1 Li 0.000 0.000 0.500
Ga1 Ga 0.000 0.000 0.000
Pb1 Pb 0.500 0.500 0.500

---

Entry 2:
# Li6Ga2Pb, relaxed, DFT GGA-PBE
# Calculated density: 4.2 g/cm3
# DFT formation energy: -2.37 eV per formula unit
data_Li6Ga2Pb
_chemical_formula_sum 'Li18 Ga6 Pb3'
_space_group_name_H-M_alt 'R -3 m'
_space_group_IT_number 166
_space_group_name_Hall '-R 3 2"'
_cell_length_a 7.9557
_cell_length_b 7.9557
_cell_length_c 8.4543
_cell_angle_alpha 90.00
_cell_angle_beta 90.00
_cell_angle_gamma 120.00
loop_
_atom_site_label
_atom_site_type_symbol
_atom_site_fract_x
_atom_site_fract_y
_atom_site_fract_z
Li1 Li 0.0000 0.3313 0.0000
Ga1 Ga 0.0000 0.0000 0.1509
Pb1 Pb 0.0000 0.0000 0.5000

---

Entry 3:
# LiGaPb3, relaxed, DFT GGA-PBE
# Calculated density: 6.7 g/cm3
# Distance to the lowest polymorph of the same formula: 76 meV/atom
# DFT formation energy: 1.36 eV per formula unit
data_LiGaPb3
_chemical_formula_sum 'Li1 Ga1 Pb3'
_space_group_name_H-M_alt 'P m -3 m'
_space_group_IT_number 221
_space_group_name_Hall '-P 4 2 3'
_cell_length_a 5.567
_cell_length_b 5.567
_cell_length_c 5.567
_cell_angle_alpha 90.00
_cell_angle_beta 90.00
_cell_angle_gamma 90.00
loop_
_atom_site_label
_atom_site_type_symbol
_atom_site_fract_x
_atom_site_fract_y
_atom_site_fract_z
Li1 Li 0.000 0.000 0.000
Ga1 Ga 0.500 0.500 0.500
Pb1 Pb 0.000 0.500 0.500

---

> Number 1 is which compound?

Li3GaPb